No. 1
# Ce2Ge2H | Alexandria via LeMat-Bulk | PBE-GGA | optimized geometry
data_Ce2Ge2H
_chemical_formula_sum 'Ce4 Ge4 H2'
_symmetry_space_group_name_H-M 'P 1'
_symmetry_Int_Tables_number 1
_cell_length_a 5.921
_cell_length_b 5.970
_cell_length_c 7.301
_cell_angle_alpha 114.13
_cell_angle_beta 113.92
_cell_angle_gamma 90.00
loop_
_symmetry_equiv_pos_as_xyz
'x,y,z'
loop_
_atom_site_label
_atom_site_type_symbol
_atom_site_fract_x
_atom_site_fract_y
_atom_site_fract_z
H1 H 0.250 0.500 0.000
H2 H 0.750 0.500 0.000
Ge1 Ge 0.139 0.357 0.278
Ge2 Ge 0.361 0.079 0.722
Ge3 Ge 0.639 0.921 0.278
Ge4 Ge 0.861 0.643 0.722
Ce1 Ce 0.886 0.160 0.772
Ce2 Ce 0.114 0.840 0.228
Ce3 Ce 0.386 0.613 0.772
Ce4 Ce 0.614 0.387 0.228
# **Space-group type**: Ibam
# **Total energy**: -5.48 eV per atom


No. 2
# Ce2GeH | Alexandria via LeMat-Bulk | PBE-GGA | optimized geometry
data_Ce2GeH
_chemical_formula_sum 'Ce4 Ge2 H2'
_symmetry_space_group_name_H-M 'P 1'
_symmetry_Int_Tables_number 1
_cell_length_a 4.194
_cell_length_b 4.194
_cell_length_c 8.923
_cell_angle_alpha 90.00
_cell_angle_beta 90.00
_cell_angle_gamma 90.00
loop_
_symmetry_equiv_pos_as_xyz
'x,y,z'
loop_
_atom_site_label
_atom_site_type_symbol
_atom_site_fract_x
_atom_site_fract_y
_atom_site_fract_z
Ce1 Ce 0.500 0.000 0.125
Ce2 Ce 0.500 0.500 0.500
Ce3 Ce 0.000 0.000 0.500
Ce4 Ce 0.000 0.500 0.875
Ge1 Ge 0.000 0.500 0.247
Ge2 Ge 0.500 0.000 0.753
H1 H 0.000 0.000 0.000
H2 H 0.500 0.500 0.000
# **Space-group type**: P4/nmm
# **Total energy**: -5.57 eV per atom
# **Excess energy over the best structure of this formula in the dataset**: 0.000 eV per formula unit


No. 3
# Ce2GeH2 | Alexandria via LeMat-Bulk | PBE-GGA | optimized geometry
data_Ce2GeH2
_chemical_formula_sum 'Ce4 Ge2 H4'
_symmetry_space_group_name_H-M 'P 1'
_symmetry_Int_Tables_number 1
_cell_length_a 6.087
_cell_length_b 6.086
_cell_length_c 6.136
_cell_angle_alpha 120.84
_cell_angle_beta 103.77
_cell_angle_gamma 104.07
loop_
_symmetry_equiv_pos_as_xyz
'x,y,z'
loop_
_atom_site_label
_atom_site_type_symbol
_atom_site_fract_x
_atom_site_fract_y
_atom_site_fract_z
Ge1 Ge 0.010 0.760 0.250
Ge2 Ge 0.990 0.240 0.750
Ce1 Ce 0.839 0.178 0.179
Ce2 Ce 0.161 0.822 0.821
Ce3 Ce 0.502 0.341 0.679
Ce4 Ce 0.498 0.659 0.321
H1 H 0.257 0.491 0.490
H2 H 0.743 0.509 0.510
H3 H 0.501 0.767 0.010
H4 H 0.499 0.233 0.990
# **Space-group type**: C2/c
# **Total energy**: -5.26 eV per atom
# **Excess energy over the best structure of this formula in the dataset**: 0.011 eV per formula unit


No. 4
# Ce4Ge2H3 | Alexandria via LeMat-Bulk | PBE-GGA | optimized geometry
data_Ce4Ge2H3
_chemical_formula_sum 'Ce4 Ge2 H3'
_symmetry_space_group_name_H-M 'P 1'
_symmetry_Int_Tables_number 1
_cell_length_a 3.900
_cell_length_b 4.214
_cell_length_c 11.974
_cell_angle_alpha 86.20
_cell_angle_beta 90.00
_cell_angle_gamma 117.56
loop_
_symmetry_equiv_pos_as_xyz
'x,y,z'
loop_
_atom_site_label
_atom_site_type_symbol
_atom_site_fract_x
_atom_site_fract_y
_atom_site_fract_z
Ge1 Ge 0.266 0.533 0.245
Ge2 Ge 0.734 0.467 0.755
Ce1 Ce 0.923 0.845 0.394
Ce2 Ce 0.077 0.155 0.606
Ce3 Ce 0.601 0.203 0.104
Ce4 Ce 0.399 0.797 0.896
H1 H 0.000 0.000 0.000
H2 H 0.375 0.749 0.530
H3 H 0.625 0.251 0.470
# **Space-group type**: C2/m
# **Total energy**: -5.21 eV per atom


Look up the total energy of the first one. -5.48 eV per atom